This record from the Alexandria database describes a relaxed NaCuS2Cl crystal. The functional is GGA-PBEsol.

Formation energy without anion corrections: 0.849 eV/atom
DOS at the Fermi energy: 3.94 states/eV per cell
Raw total energy: -2.453 eV per atom

a b c (Å): 4.946 4.946 4.829
angles (deg): 90.00 90.00 90.00
Space group P4/mmm (No. 123)
Asymmetric unit:
Na 0.000 0.000 0.000 x1
Cu 0.500 0.500 0.500 x1
S 0.000 0.500 0.000 x2
Cl 0.000 0.000 0.500 x1

This record from the Alexandria database describes a relaxed NaZnCu2Cl crystal. The functional is GGA-PBEsol.

Formation energy without anion corrections: 1.123 eV/atom
DOS at the Fermi energy: 2.52 states/eV per cell
Raw total energy: -1.608 eV per atom

a b c (Å): 4.770 4.770 5.007
angles (deg): 90.00 90.00 90.00
Space group P4/mmm (No. 123)
Asymmetric unit:
Na 0.000 0.000 0.000 x1
Zn 0.000 0.000 0.500 x1
Cu 0.000 0.500 0.000 x2
Cl 0.500 0.500 0.500 x1

This record from the Alexandria database describes a relaxed NdNb2CuClO7 crystal. The functional is GGA-PBEsol.

Formation energy without anion corrections: -2.295 eV/atom
DOS at the Fermi energy: 2.37 states/eV per cell
Raw total energy: -8.119 eV per atom

a b c (Å): 3.862 3.862 11.663
angles (deg): 90.00 90.00 90.00
Space group P4/mmm (No. 123)
Asymmetric unit:
Nd 0.000 0.000 0.000 x1
Nb 0.500 0.500 0.191 x2
Cu 0.500 0.500 0.500 x1
Cl 0.000 0.000 0.500 x1
O 0.000 0.500 0.150 x4
O 0.500 0.500 0.000 x1
O 0.500 0.500 0.346 x2

This record from the Alexandria database describes a relaxed NbCuP2Cl crystal. The functional is GGA-PBEsol.

Formation energy without anion corrections: 0.466 eV/atom
DOS at the Fermi energy: 2.10 states/eV per cell
Raw total energy: -5.283 eV per atom

a b c (Å): 4.799 4.799 4.740
angles (deg): 90.00 90.00 90.00
Space group P4/mmm (No. 123)
Asymmetric unit:
Nb 0.000 0.000 0.000 x1
Cu 0.500 0.500 0.500 x1
P 0.000 0.500 0.000 x2
Cl 0.000 0.000 0.500 x1

This record from the Alexandria database describes a relaxed RbNb3CuCl9 crystal. The functional is GGA-PBEsol.

Formation energy without anion corrections: -1.282 eV/atom
Raw total energy: -5.275 eV per atom

a b c (Å): 9.204 9.240 9.250
angles (deg): 119.66 95.56 106.06
Space group P-1 (No. 2)
Asymmetric unit:
Rb 0.168 0.022 0.237 x2
Nb 0.357 0.481 0.801 x2
Nb 0.359 0.244 0.921 x2
Nb 0.364 0.603 0.159 x2
Cu 0.117 0.680 0.550 x2
Cl 0.165 0.174 0.671 x2
Cl 0.169 0.447 0.542 x2
Cl 0.172 0.597 0.952 x2
Cl 0.172 0.921 0.824 x2
Cl 0.174 0.318 0.096 x2
Cl 0.193 0.735 0.354 x2
Cl 0.491 0.358 0.578 x2
Cl 0.493 0.078 0.722 x2
Cl 0.497 0.779 0.858 x2

This record from the Alexandria database describes a relaxed NbCuSCl2 crystal. The functional is GGA-PBEsol.

Formation energy without anion corrections: 0.300 eV/atom
DOS at the Fermi energy: 4.58 states/eV per cell
Raw total energy: -4.411 eV per atom

a b c (Å): 4.430 4.430 4.739
angles (deg): 90.00 90.00 90.00
Space group P4/mmm (No. 123)
Asymmetric unit:
Nb 0.000 0.000 0.000 x1
Cu 0.500 0.500 0.500 x1
S 0.500 0.500 0.000 x1
Cl 0.000 0.500 0.500 x2

This record from the Alexandria database describes a relaxed Rb2NdCuCl6 crystal. The functional is GGA-PBEsol.

Formation energy without anion corrections: -1.737 eV/atom
DOS at the Fermi energy: 0.00 states/eV per cell
Raw total energy: -4.097 eV per atom

a b c (Å): 10.329 10.329 10.329
angles (deg): 90.00 90.00 90.00
Space group Fm-3m (No. 225)
Asymmetric unit:
Rb 0.250 0.250 0.250 x8
Nd 0.000 0.000 0.000 x4
Cu 0.000 0.000 0.500 x4
Cl 0.000 0.000 0.261 x24

This record from the Alexandria database describes a relaxed CuNiCl crystal. The functional is GGA-PBEsol.

Formation energy without anion corrections: 0.453 eV/atom
DOS at the Fermi energy: 16.58 states/eV per cell
Raw total energy: -3.713 eV per atom

a b c (Å): 5.562 5.562 5.562
angles (deg): 90.00 90.00 90.00
Space group F-43m (No. 216)
Asymmetric unit:
Cu 0.000 0.000 0.000 x4
Ni 0.250 0.250 0.250 x4
Cl 0.000 0.000 0.500 x4

This record from the Alexandria database describes a relaxed CuNi2Cl crystal. The functional is GGA-PBEsol.

Formation energy without anion corrections: 0.302 eV/atom
DOS at the Fermi energy: 5.14 states/eV per cell
Raw total energy: -4.363 eV per atom

a b c (Å): 2.889 2.889 5.792
angles (deg): 90.00 90.00 90.00
Space group P4/mmm (No. 123)
Asymmetric unit:
Cu 0.000 0.000 0.000 x1
Ni 0.500 0.500 0.232 x2
Cl 0.000 0.000 0.500 x1

This record from the Alexandria database describes a relaxed CuNiCl2 crystal. The functional is GGA-PBEsol.

Formation energy without anion corrections: -0.222 eV/atom
Distance to the lowest polymorph of the same formula: 0.00 eV/f.u.
DOS at the Fermi energy: 3.18 states/eV per cell
Raw total energy: -3.849 eV per atom

a b c (Å): 3.729 3.350 5.940
angles (deg): 90.00 91.91 90.00
Space group Pm (No. 6)
Asymmetric unit:
Cu 0.000 0.000 0.000 x1
Ni 0.501 0.500 0.104 x1
Cl 0.221 0.500 0.775 x1
Cl 0.683 0.000 0.320 x1

This record from the Alexandria database describes a relaxed CuNiCl2 crystal. The functional is GGA-PBEsol.

Formation energy without anion corrections: -0.069 eV/atom
Distance to the lowest polymorph of the same formula: 0.61 eV/f.u.
DOS at the Fermi energy: 6.51 states/eV per cell
Raw total energy: -3.696 eV per atom

a b c (Å): 3.135 3.302 13.006
angles (deg): 90.00 90.00 90.00
Space group Imm2 (No. 44)
Asymmetric unit:
Cu 0.000 0.000 0.000 x2
Ni 0.000 0.500 0.657 x2
Cl 0.000 0.000 0.443 x2
Cl 0.000 0.500 0.193 x2

This record from the Alexandria database describes a relaxed CuCl3O crystal. The functional is GGA-PBEsol.

Formation energy without anion corrections: 0.472 eV/atom
Distance to the lowest polymorph of the same formula: 0.00 eV/f.u.
DOS at the Fermi energy: 5.37 states/eV per cell
Raw total energy: -2.649 eV per atom

a b c (Å): 4.572 4.572 4.572
angles (deg): 90.00 90.00 90.00
Space group Pm-3m (No. 221)
Asymmetric unit:
Cu 0.000 0.000 0.000 x1
Cl 0.000 0.000 0.500 x3
O 0.500 0.500 0.500 x1

This record from the Alexandria database describes a relaxed CuClO crystal. The functional is GGA-PBEsol.

Formation energy without anion corrections: -0.366 eV/atom
DOS at the Fermi energy: 7.96 states/eV per cell
Raw total energy: -4.230 eV per atom

a b c (Å): 10.911 6.645 11.413
angles (deg): 90.00 90.00 90.00
Space group Pna2_1 (No. 33)
Asymmetric unit:
Cu 0.003 0.023 0.000 x4
Cu 0.024 0.521 0.024 x4
Cu 0.211 0.302 0.551 x4
Cu 0.237 0.196 0.977 x4
Cl 0.035 0.830 0.723 x4
Cl 0.156 0.919 0.382 x4
Cl 0.169 0.661 0.800 x4
Cl 0.188 0.560 0.135 x4
O 0.047 0.224 0.556 x4
O 0.075 0.276 0.964 x4
O 0.136 0.515 0.476 x4
O 0.162 0.985 0.055 x4

This record from the Alexandria database describes a relaxed CuCl3O crystal. The functional is GGA-PBEsol.

Formation energy without anion corrections: 0.636 eV/atom
Distance to the lowest polymorph of the same formula: 0.82 eV/f.u.
DOS at the Fermi energy: 9.32 states/eV per cell
Raw total energy: -2.485 eV per atom

a b c (Å): 4.362 4.362 4.362
angles (deg): 90.00 90.00 90.00
Space group Pm-3m (No. 221)
Asymmetric unit:
Cu 0.000 0.000 0.000 x1
Cl 0.000 0.500 0.500 x3
O 0.500 0.500 0.500 x1

This record from the Alexandria database describes a relaxed CuPCl2O crystal. The functional is GGA-PBEsol.

Formation energy without anion corrections: 0.792 eV/atom
DOS at the Fermi energy: 2.82 states/eV per cell
Raw total energy: -3.086 eV per atom

a b c (Å): 4.513 4.513 4.512
angles (deg): 90.00 90.00 90.00
Space group P4/mmm (No. 123)
Asymmetric unit:
Cu 0.000 0.000 0.000 x1
P 0.000 0.000 0.500 x1
Cl 0.000 0.500 0.000 x2
O 0.500 0.500 0.500 x1

This record from the Alexandria database describes a relaxed CuPb2Cl2O2 crystal. The functional is GGA-PBEsol.

Formation energy without anion corrections: -0.966 eV/atom
DOS at the Fermi energy: 2.03 states/eV per cell
Raw total energy: -4.801 eV per atom

a b c (Å): 3.946 3.946 15.858
angles (deg): 90.00 90.00 90.00
Space group I4/mmm (No. 139)
Asymmetric unit:
Cu 0.000 0.000 0.000 x2
Pb 0.000 0.000 0.392 x4
Cl 0.000 0.000 0.180 x4
O 0.000 0.500 0.000 x4

This record from the Alexandria database describes a relaxed Sr2Cu2RuPb2ClO8 crystal. The functional is GGA-PBEsol.

Formation energy without anion corrections: -1.439 eV/atom
DOS at the Fermi energy: 11.27 states/eV per cell
Raw total energy: -6.096 eV per atom

a b c (Å): 15.083 5.459 5.461
angles (deg): 90.00 90.00 90.00
Space group Amm2 (No. 38)
Asymmetric unit:
Sr 0.143 0.000 0.000 x4
Cu 0.268 0.000 0.502 x4
Ru 0.000 0.000 0.493 x2
Pb 0.378 0.000 0.002 x4
Cl 0.500 0.000 0.502 x2
O 0.000 0.246 0.245 x4
O 0.127 0.000 0.517 x4
O 0.280 0.250 0.252 x8

This record from the Alexandria database describes a relaxed Cu2PbSe2Cl2O6 crystal. The functional is GGA-PBEsol.

Formation energy without anion corrections: -0.782 eV/atom
DOS at the Fermi energy: 0.45 states/eV per cell
Raw total energy: -5.080 eV per atom

a b c (Å): 12.977 9.500 6.854
angles (deg): 90.00 90.70 90.00
Space group C2/c (No. 15)
Asymmetric unit:
Cu 0.000 0.111 0.250 x4
Cu 0.250 0.250 0.000 x4
Pb 0.000 0.345 0.750 x4
Se 0.170 0.099 0.585 x8
Cl 0.128 0.402 0.115 x8
O 0.047 0.152 0.508 x8
O 0.143 0.064 0.182 x8
O 0.162 0.216 0.782 x8

This record from the Alexandria database describes a relaxed V2Cu3PbCl2O8 crystal. The functional is GGA-PBEsol.

Formation energy without anion corrections: -1.414 eV/atom
DOS at the Fermi energy: 19.31 states/eV per cell
Raw total energy: -6.557 eV per atom

a b c (Å): 8.921 11.013 9.241
angles (deg): 90.00 90.00 90.00
Space group Ibam (No. 72)
Asymmetric unit:
V 0.000 0.204 0.250 x8
Cu 0.000 0.000 0.000 x4
Cu 0.250 0.171 0.000 x8
Pb 0.000 0.500 0.250 x4
Cl 0.185 0.414 0.000 x8
O 0.099 0.109 0.133 x16
O 0.116 0.298 0.343 x16

This record from the Alexandria database describes a relaxed CuSCl2O crystal. The functional is GGA-PBEsol.

Formation energy without anion corrections: 0.736 eV/atom
DOS at the Fermi energy: 4.98 states/eV per cell
Raw total energy: -2.861 eV per atom

a b c (Å): 4.586 4.586 4.485
angles (deg): 90.00 90.00 90.00
Space group P4/mmm (No. 123)
Asymmetric unit:
Cu 0.000 0.000 0.000 x1
S 0.000 0.000 0.500 x1
Cl 0.000 0.500 0.000 x2
O 0.500 0.500 0.500 x1